Arrangement a

VASP calculation (PBE-GGA) on Ac2PdPt2 after structural relaxation. Values from VASP.

Cell and atoms, written as Quantum ESPRESSO input:
```
&SYSTEM
  ibrav = 0, nat = 20, ntyp = 3
/
ATOMIC_SPECIES
Ac 227.00 Ac.upf
Pd 106.42 Pd.upf
Pt 195.08 Pt.upf
ATOMIC_POSITIONS crystal
Ac 0.177 0.677 0.500
Pd 0.500 0.500 0.248
Ac 0.323 0.177 0.000
Pt 0.128 0.372 0.750
Pt 0.372 0.872 0.250
Pd 0.000 0.000 0.252
Pd 0.500 0.500 0.752
Ac 0.677 0.823 0.500
Ac 0.177 0.677 0.000
Ac 0.323 0.177 0.500
Pt 0.372 0.872 0.750
Pt 0.872 0.628 0.250
Ac 0.823 0.323 0.000
Pt 0.628 0.128 0.750
Ac 0.823 0.323 0.500
Pt 0.872 0.628 0.750
Ac 0.677 0.823 0.000
Pt 0.128 0.372 0.250
Pt 0.628 0.128 0.250
Pd 0.000 0.000 0.748
CELL_PARAMETERS angstrom
7.943 0.000 0.000
0.000 7.943 0.000
0.000 0.000 8.152
```

Results
Space group ... No. 128
N(E_F) ... 13.1 states/eV per cell

Arrangement b

VASP calculation (PBE-GGA) on Ac2PdPt2 after structural relaxation. Values from VASP.

Cell and atoms, written as Quantum ESPRESSO input:
```
&SYSTEM
  ibrav = 0, nat = 10, ntyp = 3
/
ATOMIC_SPECIES
Pt 195.08 Pt.upf
Ac 227.00 Ac.upf
Pd 106.42 Pd.upf
ATOMIC_POSITIONS crystal
Pt 0.351 0.190 0.108
Ac 0.309 0.739 0.643
Ac 0.912 0.278 0.898
Pt 0.649 0.810 0.892
Pt 0.955 0.673 0.416
Pt 0.045 0.327 0.584
Pd 0.410 0.869 0.311
Ac 0.088 0.722 0.102
Pd 0.590 0.131 0.689
Ac 0.691 0.261 0.357
CELL_PARAMETERS angstrom
-1.297 1.759 -3.768
3.284 -2.347 -4.744
-7.498 -6.637 -3.037
```

Results
Space group ... No. 12
N(E_F) ... 4.8 states/eV per cell

Ranking the structures above by energy, arrangement b is first and the second is 0.053 eV/atom behind.